1.
{
  "formula": "UInPdAu",
  "functional": "PBE",
  "state": "optimized geometry",
  "lattice_angstrom": [[-1.878, 4.152, -1.821], [-2.748, 2.905, 2.845], [1.743, 4.340, 1.485]],
  "species": ["Au", "U", "Pd", "In"],
  "fractional_positions": [[0.000, 0.000, 0.000], [0.750, 0.750, 0.750], [0.500, 0.500, 0.500], [0.250, 0.250, 0.250]],
  "dos_at_fermi_per_ev_atom": 2.103,
  "magmom_total_mub_per_cell": 2.22,
  "rho_g_cm3": 13.0,
  "dft_energy_ev_per_atom": -5.8860,
  "crystal_system": "cubic",
  "spacegroup": "F-43m (216)"
}


2.
{
  "formula": "VInPdAu",
  "functional": "PBE",
  "state": "optimized geometry",
  "lattice_angstrom": [[-1.350, -4.396, 0.383], [2.778, -3.101, 1.991], [-1.069, -1.733, 4.141]],
  "species": ["V", "Au", "Pd", "In"],
  "fractional_positions": [[0.750, 0.750, 0.750], [0.500, 0.500, 0.500], [0.000, 0.000, 0.000], [0.250, 0.250, 0.250]],
  "dos_at_fermi_per_ev_atom": 1.380,
  "magmom_total_mub_per_cell": 2.44,
  "rho_g_cm3": 11.2,
  "dft_energy_ev_per_atom": -5.1935,
  "crystal_system": "cubic",
  "spacegroup": "F-43m (216)"
}